w) First-principles (meta-GGA SCAN) data for a crystal of Li2FeCo relaxed with PBEsol, as listed in Alexandria.

Cell: 3.0888 3.0888 4.8079 Å, 90.00 90.00 90.00°
Closest atoms and distances in Å follow each position.
Element x y z (fractional)
Li: 0.0000 0.0000 0.2397  2 Li 2.31-2.50, 4 Co 2.47, 4 Fe 2.52
Li: 0.0000 0.0000 0.7603  2 Li 2.31-2.50, 4 Co 2.47, 4 Fe 2.52
Fe: 0.5000 0.5000 0.5000  2 Co 2.40, 8 Li 2.52
Co: 0.5000 0.5000 0.0000  2 Fe 2.40, 8 Li 2.47

x) First-principles (meta-GGA SCAN) data for a crystal of Li2FeCo relaxed with PBEsol, as listed in Alexandria.

Cell: 2.5037 2.5037 26.5674 Å, 90.00 90.00 120.00°
Closest atoms and distances in Å follow each position.
Element x y z (fractional)
Li: 0.0000 0.0000 0.0000  6 Li 2.50, 3 Co 2.56
Li: 0.0000 0.0000 0.2346  6 Li 2.50, 3 Fe 2.62
Li: 0.3333 0.6667 0.6667  6 Li 2.50, 3 Co 2.56
Li: 0.3333 0.6667 0.9012  6 Li 2.50, 3 Fe 2.62
Li: 0.6667 0.3333 0.3333  6 Li 2.50, 3 Co 2.56
Li: 0.6667 0.3333 0.5679  6 Li 2.50, 3 Fe 2.62
Fe: 0.0000 0.0000 0.4857  3 Co 2.41, 6 Fe 2.50, 3 Li 2.62
Fe: 0.3333 0.6667 0.1524  3 Co 2.41, 6 Fe 2.50, 3 Li 2.62
Fe: 0.6667 0.3333 0.8190  3 Co 2.41, 6 Fe 2.50, 3 Li 2.62
Co: 0.0000 0.0000 0.7463  3 Fe 2.41, 6 Co 2.50, 3 Li 2.56
Co: 0.3333 0.6667 0.4130  3 Fe 2.41, 6 Co 2.50, 3 Li 2.56
Co: 0.6667 0.3333 0.0796  3 Fe 2.41, 6 Co 2.50, 3 Li 2.56

y) First-principles (meta-GGA SCAN) data for a crystal of Li2FeCo relaxed with PBEsol, as listed in Alexandria.

Cell: 8.1850 2.3561 4.9337 Å, 90.00 93.31 90.00°
Closest atoms and distances in Å follow each position.
Element x y z (fractional)
Li: 0.0000 0.0000 0.0000  5 Li 2.36-2.63, 1 Fe 2.56, 2 Co 2.61
Li: 0.2450 0.0000 0.7562  5 Li 2.36-2.63, 1 Co 2.56, 2 Fe 2.59
Li: 0.5000 0.5000 0.0000  5 Li 2.36-2.63, 1 Fe 2.56, 2 Co 2.61
Li: 0.7450 0.5000 0.7562  5 Li 2.36-2.63, 1 Co 2.56, 2 Fe 2.59
Fe: 0.2503 0.5000 0.2892  3 Co 2.31-2.46, 2 Fe 2.36, 1 Li 2.56
Fe: 0.7503 0.0000 0.2892  3 Co 2.31-2.46, 2 Fe 2.36, 1 Li 2.56
Co: 0.4970 0.0000 0.4715  3 Fe 2.31-2.46, 2 Co 2.36, 1 Li 2.56
Co: 0.9970 0.5000 0.4715  3 Fe 2.31-2.46, 2 Co 2.36, 1 Li 2.56

Of them, the most stable is x) and the least stable is w).

w) First-principles (meta-GGA SCAN) data for a crystal of Li2FeCo relaxed with PBEsol, as listed in Alexandria.

Cell: 2.8113 2.8113 6.8347 Å, 90.00 90.00 90.00°
Closest atoms and distances in Å follow each position.
Element x y z (fractional)
Li: 0.0000 0.0000 0.0000  4 Fe 2.69, 8 Li 2.81-2.96, 1 Co 2.97
Li: 0.5000 0.5000 0.3201  4 Co 2.60, 4 Li 2.81, 1 Fe 2.83
Fe: 0.5000 0.5000 0.7338  4 Co 2.30
Co: 0.0000 0.0000 0.5658  4 Fe 2.30

x) First-principles (meta-GGA SCAN) data for a crystal of Li2FeCo relaxed with PBEsol, as listed in Alexandria.

Cell: 2.3987 4.3902 4.2967 Å, 90.00 93.31 90.00°
Closest atoms and distances in Å follow each position.
Element x y z (fractional)
Li: 0.2409 0.0000 0.2532  6 Li 2.40-2.57, 2 Co 2.52, 2 Fe 2.54
Li: 0.7591 0.0000 0.7468  6 Li 2.40-2.57, 2 Co 2.52, 2 Fe 2.54
Fe: 0.5000 0.5000 0.0000  2 Fe 2.40, 4 Co 2.40-2.52, 4 Li 2.54
Co: 0.0000 0.5000 0.5000  2 Co 2.40, 4 Fe 2.40-2.52, 4 Li 2.52

Of them, the most stable is w) and the least stable is x).

w) First-principles (meta-GGA SCAN) data for a crystal of Li2FeCo3O8 relaxed with PBEsol, as listed in Alexandria.

Cell: 7.9408 7.9408 7.9408 Å, 90.00 90.00 90.00°
Closest atoms and distances in Å follow each position.
Element x y z (fractional)
Li: 0.0028 0.4972 0.5028  4 O 1.90-1.92
Li: 0.2472 0.7472 0.7528  4 O 1.90-1.92
Li: 0.2528 0.2528 0.2528  4 O 1.90-1.92
Li: 0.4972 0.5028 0.0028  4 O 1.90-1.92
Li: 0.5028 0.0028 0.4972  4 O 1.90-1.92
Li: 0.7472 0.7528 0.2472  4 O 1.90-1.92
Li: 0.7528 0.2472 0.7472  4 O 1.90-1.92
Li: 0.9972 0.9972 0.9972  4 O 1.90-1.92
Fe: 0.1250 0.8750 0.3750  6 O 1.87
Fe: 0.3750 0.1250 0.8750  6 O 1.87
Fe: 0.6250 0.6250 0.6250  6 O 1.87
Fe: 0.8750 0.3750 0.1250  6 O 1.87
Co: 0.1232 0.6250 0.1268  6 O 1.88-1.89
Co: 0.1250 0.3732 0.8768  6 O 1.88-1.89
Co: 0.1268 0.1232 0.6250  6 O 1.88-1.89
Co: 0.3732 0.8768 0.1250  6 O 1.88-1.89
Co: 0.3750 0.6268 0.3768  6 O 1.88-1.89
Co: 0.3768 0.3750 0.6268  6 O 1.88-1.89
Co: 0.6232 0.8750 0.8732  6 O 1.88-1.89
Co: 0.6250 0.1268 0.1232  6 O 1.88-1.89
Co: 0.6268 0.3768 0.3750  6 O 1.88-1.89
Co: 0.8732 0.6232 0.8750  6 O 1.88-1.89
Co: 0.8750 0.8732 0.6232  6 O 1.88-1.89
Co: 0.8768 0.1250 0.3732  6 O 1.88-1.89
O: 0.1088 0.6088 0.8912  3 Co 1.88, 1 Li 1.90
O: 0.1097 0.3884 0.1137  1 Fe 1.87, 2 Co 1.88-1.89, 1 Li 1.92
O: 0.1116 0.8863 0.6097  1 Fe 1.87, 2 Co 1.88-1.89, 1 Li 1.92
O: 0.1137 0.1097 0.3884  1 Fe 1.87, 2 Co 1.88-1.89, 1 Li 1.92
O: 0.1363 0.8616 0.1403  1 Fe 1.87, 2 Co 1.88-1.89, 1 Li 1.92
O: 0.1384 0.6403 0.3637  1 Fe 1.87, 2 Co 1.88-1.89, 1 Li 1.92
O: 0.1403 0.1363 0.8616  1 Fe 1.87, 2 Co 1.88-1.89, 1 Li 1.92
O: 0.1412 0.3588 0.6412  3 Co 1.88, 1 Li 1.90
O: 0.3588 0.6412 0.1412  3 Co 1.88, 1 Li 1.90
O: 0.3597 0.8637 0.3616  1 Fe 1.87, 2 Co 1.88-1.89, 1 Li 1.92
O: 0.3616 0.3597 0.8637  1 Fe 1.87, 2 Co 1.88-1.89, 1 Li 1.92
O: 0.3637 0.1384 0.6403  1 Fe 1.87, 2 Co 1.88-1.89, 1 Li 1.92
O: 0.3863 0.8903 0.8884  1 Fe 1.87, 2 Co 1.88-1.89, 1 Li 1.92
O: 0.3884 0.1137 0.1097  1 Fe 1.87, 2 Co 1.88-1.89, 1 Li 1.92
O: 0.3903 0.6116 0.6137  1 Fe 1.87, 2 Co 1.88-1.89, 1 Li 1.92
O: 0.3912 0.3912 0.3912  3 Co 1.88, 1 Li 1.90
O: 0.6088 0.8912 0.1088  3 Co 1.88, 1 Li 1.90
O: 0.6097 0.1116 0.8863  1 Fe 1.87, 2 Co 1.88-1.89, 1 Li 1.92
O: 0.6116 0.6137 0.3903  1 Fe 1.87, 2 Co 1.88-1.89, 1 Li 1.92
O: 0.6137 0.3903 0.6116  1 Fe 1.87, 2 Co 1.88-1.89, 1 Li 1.92
O: 0.6363 0.6384 0.8597  1 Fe 1.87, 2 Co 1.88-1.89, 1 Li 1.92
O: 0.6384 0.8597 0.6363  1 Fe 1.87, 2 Co 1.88-1.89, 1 Li 1.92
O: 0.6403 0.3637 0.1384  1 Fe 1.87, 2 Co 1.88-1.89, 1 Li 1.92
O: 0.6412 0.1412 0.3588  3 Co 1.88, 1 Li 1.90
O: 0.8588 0.8588 0.8588  3 Co 1.88, 1 Li 1.90
O: 0.8597 0.6363 0.6384  1 Fe 1.87, 2 Co 1.88-1.89, 1 Li 1.92
O: 0.8616 0.1403 0.1363  1 Fe 1.87, 2 Co 1.88-1.89, 1 Li 1.92
O: 0.8637 0.3616 0.3597  1 Fe 1.87, 2 Co 1.88-1.89, 1 Li 1.92
O: 0.8863 0.6097 0.1116  1 Fe 1.87, 2 Co 1.88-1.89, 1 Li 1.92
O: 0.8884 0.3863 0.8903  1 Fe 1.87, 2 Co 1.88-1.89, 1 Li 1.92
O: 0.8903 0.8884 0.3863  1 Fe 1.87, 2 Co 1.88-1.89, 1 Li 1.92
O: 0.8912 0.1088 0.6088  3 Co 1.88, 1 Li 1.90

x) First-principles (meta-GGA SCAN) data for a crystal of Li2FeCo3O8 relaxed with PBEsol, as listed in Alexandria.

Cell: 5.6005 5.6005 5.6005 Å, 60.34 60.34 60.34°
Closest atoms and distances in Å follow each position.
Element x y z (fractional)
Li: 0.1254 0.1254 0.1254  4 O 1.90-1.92
Li: 0.8746 0.8746 0.8746  4 O 1.90-1.92
Fe: 0.5000 0.5000 0.5000  6 O 1.87
Co: 0.0000 0.5000 0.5000  6 O 1.88-1.89
Co: 0.5000 0.0000 0.5000  6 O 1.88-1.89
Co: 0.5000 0.5000 0.0000  6 O 1.88-1.89
O: 0.2646 0.2646 0.2646  3 Co 1.88, 1 Li 1.90
O: 0.2649 0.2649 0.7084  1 Fe 1.87, 2 Co 1.89, 1 Li 1.92
O: 0.2649 0.7084 0.2649  1 Fe 1.87, 2 Co 1.89, 1 Li 1.92
O: 0.2916 0.7351 0.7351  1 Fe 1.87, 2 Co 1.89, 1 Li 1.92
O: 0.7084 0.2649 0.2649  1 Fe 1.87, 2 Co 1.89, 1 Li 1.92
O: 0.7351 0.2916 0.7351  1 Fe 1.87, 2 Co 1.89, 1 Li 1.92
O: 0.7351 0.7351 0.2916  1 Fe 1.87, 2 Co 1.89, 1 Li 1.92
O: 0.7354 0.7354 0.7354  3 Co 1.88, 1 Li 1.90

y) First-principles (meta-GGA SCAN) data for a crystal of Li2FeCo3O8 relaxed with PBEsol, as listed in Alexandria.

Cell: 5.6555 5.6555 5.6555 Å, 59.52 59.52 59.52°
Closest atoms and distances in Å follow each position.
Element x y z (fractional)
Li: 0.0000 0.0000 0.0000  4 O 1.89-1.97
Li: 0.3753 0.3753 0.3753  6 O 1.98-2.02
Fe: 0.7596 0.7596 0.7596  4 O 1.83-1.96
Co: 0.3763 0.3763 0.8858  6 O 1.81-1.93
Co: 0.3763 0.8858 0.3763  6 O 1.81-1.93
Co: 0.8858 0.3763 0.3763  6 O 1.81-1.93
O: 0.1279 0.1279 0.5882  2 Co 1.81, 2 Li 1.89-1.98
O: 0.1279 0.5882 0.1279  2 Co 1.81, 2 Li 1.89-1.98
O: 0.1416 0.1416 0.1416  3 Co 1.87, 1 Li 1.97
O: 0.1579 0.6275 0.6275  1 Fe 1.83, 2 Co 1.90, 1 Li 2.02
O: 0.5882 0.1279 0.1279  2 Co 1.81, 2 Li 1.89-1.98
O: 0.6183 0.6183 0.6183  3 Co 1.93, 1 Fe 1.96
O: 0.6275 0.1579 0.6275  1 Fe 1.83, 2 Co 1.90, 1 Li 2.02
O: 0.6275 0.6275 0.1579  1 Fe 1.83, 2 Co 1.90, 1 Li 2.02

Of them, the most stable is w) and the least stable is y).

w) First-principles (meta-GGA SCAN) data for a crystal of Li2FeCoO4 relaxed with PBEsol, as listed in Alexandria.

Cell: 4.8953 2.7833 4.9267 Å, 90.00 109.43 90.00°
Closest atoms and distances in Å follow each position.
Element x y z (fractional)
Li: 0.0000 0.0000 0.0000  6 O 2.06-2.10
Li: 0.0000 0.5000 0.5000  6 O 2.07-2.10
Fe: 0.5000 0.0000 0.5000  6 O 1.92
Co: 0.5000 0.5000 0.0000  6 O 1.91-1.92
O: 0.2793 0.5000 0.2562  1 Co 1.92, 2 Fe 1.92, 3 Li 2.06-2.10
O: 0.2819 0.0000 0.7593  2 Co 1.91, 1 Fe 1.92, 3 Li 2.07-2.10
O: 0.7181 0.0000 0.2407  2 Co 1.91, 1 Fe 1.92, 3 Li 2.07-2.10
O: 0.7207 0.5000 0.7438  1 Co 1.92, 2 Fe 1.92, 3 Li 2.06-2.10

x) First-principles (meta-GGA SCAN) data for a crystal of Li2FeCoO4 relaxed with PBEsol, as listed in Alexandria.

Cell: 3.9635 3.9635 8.1765 Å, 90.00 90.00 90.00°
Closest atoms and distances in Å follow each position.
Element x y z (fractional)
Li: 0.0000 0.0000 0.0000  6 O 1.99-2.18
Li: 0.0000 0.5000 0.2500  6 O 1.99-2.21
Li: 0.5000 0.0000 0.7500  6 O 1.99-2.21
Li: 0.5000 0.5000 0.5000  6 O 1.99-2.18
Fe: 0.0000 0.5000 0.7500  6 O 1.88-1.99
Fe: 0.5000 0.0000 0.2500  6 O 1.88-1.99
Co: 0.0000 0.0000 0.5000  6 O 1.91-1.99
Co: 0.5000 0.5000 0.0000  6 O 1.91-1.99
O: 0.0000 0.0000 0.2667  1 Co 1.91, 2 Fe 1.99, 2 Li 1.99
O: 0.0000 0.0000 0.7333  1 Co 1.91, 2 Fe 1.99, 2 Li 1.99
O: 0.0000 0.5000 0.5205  1 Fe 1.88, 2 Li 1.99, 2 Co 1.99
O: 0.0000 0.5000 0.9795  1 Fe 1.88, 2 Co 1.99, 2 Li 1.99
O: 0.5000 0.0000 0.0205  1 Fe 1.88, 2 Co 1.99, 2 Li 1.99
O: 0.5000 0.0000 0.4795  1 Fe 1.88, 2 Li 1.99, 2 Co 1.99
O: 0.5000 0.5000 0.2333  1 Co 1.91, 2 Fe 1.99, 2 Li 1.99
O: 0.5000 0.5000 0.7667  1 Co 1.91, 2 Fe 1.99, 2 Li 1.99

Of them, the most stable is w) and the least stable is x).

w) First-principles (meta-GGA SCAN) data for a crystal of MgFeCo relaxed with PBEsol, as listed in Alexandria.

Cell: 2.6650 2.6650 6.2699 Å, 90.00 90.00 120.00°
Closest atoms and distances in Å follow each position.
Element x y z (fractional)
Mg: 0.0000 0.0000 0.0000  3 Co 2.66, 6 Mg 2.66, 3 Fe 2.74
Fe: 0.6667 0.3333 0.3618  3 Co 2.39, 6 Fe 2.66
Co: 0.3333 0.6667 0.6536  3 Fe 2.39, 3 Mg 2.66, 6 Co 2.66

x) First-principles (meta-GGA SCAN) data for a crystal of MgFeCo relaxed with PBEsol, as listed in Alexandria.

Cell: 3.0530 4.1913 12.1496 Å, 90.00 90.00 90.00°
Closest atoms and distances in Å follow each position.
Element x y z (fractional)
Mg: 0.0000 0.0000 0.0000  4 Mg 2.59, 2 Co 2.61, 2 Fe 2.68
Mg: 0.0000 0.5000 0.5000  4 Mg 2.59, 2 Co 2.61, 2 Fe 2.68
Mg: 0.5000 0.0000 0.5000  4 Mg 2.59, 2 Co 2.61, 2 Fe 2.68
Mg: 0.5000 0.5000 0.0000  4 Mg 2.59, 2 Co 2.61, 2 Fe 2.68
Fe: 0.0000 0.0000 0.3190  2 Co 2.33, 4 Fe 2.59
Fe: 0.0000 0.5000 0.8190  2 Co 2.33, 4 Fe 2.59
Fe: 0.5000 0.0000 0.8190  2 Co 2.33, 4 Fe 2.59
Fe: 0.5000 0.5000 0.3190  2 Co 2.33, 4 Fe 2.59
Co: 0.0000 0.0000 0.6743  2 Fe 2.33, 4 Co 2.59
Co: 0.0000 0.5000 0.1743  2 Fe 2.33, 4 Co 2.59
Co: 0.5000 0.0000 0.1743  2 Fe 2.33, 4 Co 2.59
Co: 0.5000 0.5000 0.6743  2 Fe 2.33, 4 Co 2.59

Of them, the most stable is x) and the least stable is w).

w) First-principles (meta-GGA SCAN) data for a crystal of MnFeCo2 relaxed with PBEsol, as listed in Alexandria.

Cell: 2.4258 2.4258 6.9437 Å, 90.00 90.00 90.00°
Closest atoms and distances in Å follow each position.
Element x y z (fractional)
Mn: 0.0000 0.0000 0.0000  4 Mn 2.43, 4 Co 2.43, 4 Fe 2.44
Fe: 0.5000 0.5000 0.7509  4 Fe 2.43, 4 Mn 2.44, 4 Co 2.46
Co: 0.0000 0.0000 0.4965  8 Co 2.43, 4 Fe 2.46
Co: 0.5000 0.5000 0.2479  8 Co 2.43, 4 Mn 2.43

x) First-principles (meta-GGA SCAN) data for a crystal of MnFeCo2 relaxed with PBEsol, as listed in Alexandria.

Cell: 3.4585 3.4585 6.9603 Å, 90.00 90.00 90.00°
Closest atoms and distances in Å follow each position.
Element x y z (fractional)
Mn: 0.0000 0.0000 0.0000  8 Co 2.45, 4 Fe 2.45
Mn: 0.5000 0.5000 0.5000  8 Co 2.45, 4 Fe 2.45
Fe: 0.0000 0.5000 0.7500  8 Co 2.45, 4 Mn 2.45
Fe: 0.5000 0.0000 0.2500  8 Co 2.45, 4 Mn 2.45
Co: 0.0000 0.0000 0.5000  4 Mn 2.45, 4 Fe 2.45, 4 Co 2.45
Co: 0.0000 0.5000 0.2500  4 Fe 2.45, 4 Mn 2.45, 4 Co 2.45
Co: 0.5000 0.0000 0.7500  4 Fe 2.45, 4 Mn 2.45, 4 Co 2.45
Co: 0.5000 0.5000 0.0000  4 Mn 2.45, 4 Fe 2.45, 4 Co 2.45

Of them, the most stable is w) and the least stable is x).